<a>
A plane-wave DFT calculation with PBE-GGA was carried out for a geometry-optimized BeHg2H structure.

Results
space-group type	Fm-3m

Unit cell a=4.3953 b=4.3953 c=4.3953 alpha=60.00 beta=60.00 gamma=60.00
With the nearest neighbours (Å) after each atom.
Fractional coordinates of all 4 atoms:
Be 0.5000 0.5000 0.5000  8 Hg 2.69
Hg 0.2500 0.2500 0.2500  4 Be 2.69, 4 H 2.69
Hg 0.7500 0.7500 0.7500  4 Be 2.69, 4 H 2.69
H 0.0000 0.0000 0.0000  8 Hg 2.69



<b>
A plane-wave DFT calculation with PBE-GGA was carried out for a geometry-optimized BeHg2H structure.

Results
space-group type	I-42d

Unit cell a=5.4067 b=5.4067 c=6.3317 alpha=64.73 beta=64.73 gamma=90.00
With the nearest neighbours (Å) after each atom.
Fractional coordinates of all 8 atoms:
H 0.2500 0.7500 0.5000  4 Hg 2.19
H 0.5000 0.5000 0.0000  4 Hg 2.19
Hg 0.3750 0.4068 0.7500  2 H 2.19, 2 Be 2.40
Hg 0.1568 0.6250 0.2500  2 H 2.19, 2 Be 2.40
Hg 0.5932 0.1250 0.2500  2 H 2.19, 2 Be 2.40
Hg 0.8750 0.8432 0.7500  2 H 2.19, 2 Be 2.40
Be 0.7500 0.2500 0.5000  4 Hg 2.40
Be 0.0000 0.0000 0.0000  4 Hg 2.40



On energetic grounds, <b> is preferred over the next structure by 17.6 kJ/mol of atoms.



<a>
A plane-wave DFT calculation with PBE-GGA was carried out for a geometry-optimized Be2HgH2 structure.

Results
space-group type	P4/mbm

Unit cell a=6.3372 b=6.3372 c=2.7021 alpha=90.00 beta=90.00 gamma=90.00
With the nearest neighbours (Å) after each atom.
Fractional coordinates of all 10 atoms:
Be 0.3870 0.8870 0.0000  4 H 1.91, 1 Be 2.03
Be 0.8870 0.6130 0.0000  4 H 1.91, 1 Be 2.03
Be 0.1130 0.3870 0.0000  4 H 1.91, 1 Be 2.03
Be 0.6130 0.1130 0.0000  4 H 1.91, 1 Be 2.03
Hg 0.5000 0.5000 0.0000  4 Be 2.55, 2 Hg 2.70
Hg 0.0000 0.0000 0.0000  4 Be 2.55, 2 Hg 2.70
H 0.5990 0.9010 0.5000  1 H 1.77, 4 Be 1.91
H 0.9010 0.4010 0.5000  1 H 1.77, 4 Be 1.91
H 0.0990 0.5990 0.5000  1 H 1.77, 4 Be 1.91
H 0.4010 0.0990 0.5000  1 H 1.77, 4 Be 1.91



<b>
A plane-wave DFT calculation with PBE-GGA was carried out for a geometry-optimized Be2HgH2 structure.

Results
space-group type	I4/mmm

Unit cell a=2.8614 b=2.8614 c=6.1517 alpha=76.55 beta=76.55 gamma=90.00
With the nearest neighbours (Å) after each atom.
Fractional coordinates of all 5 atoms:
Be 0.6721 0.6721 0.6558  4 H 1.69
Be 0.3279 0.3279 0.3442  4 H 1.69
Hg 0.0000 0.0000 0.0000  8 Be 2.84, 4 Hg 2.86
H 0.2500 0.7500 0.5000  4 Be 1.69
H 0.7500 0.2500 0.5000  4 Be 1.69



On energetic grounds, <b> is preferred over the next structure by 34.5 kJ/mol of atoms.



<a>
A plane-wave DFT calculation with PBE-GGA was carried out for a geometry-optimized Be3HgH structure.

Results
space-group type	Pm-3m

Unit cell a=4.4877 b=4.4877 c=4.4877 alpha=90.00 beta=90.00 gamma=90.00
With the nearest neighbours (Å) after each atom.
Fractional coordinates of all 5 atoms:
Be 0.5000 0.0000 0.0000  2 Hg 2.24
Be 0.0000 0.5000 0.0000  2 Hg 2.24
Be 0.0000 0.0000 0.5000  2 Hg 2.24
H 0.5000 0.5000 0.5000  12 Be 3.17
Hg 0.0000 0.0000 0.0000  6 Be 2.24



<b>
A plane-wave DFT calculation with PBE-GGA was carried out for a geometry-optimized Be3HgH structure.

Results
space-group type	Pm-3m

Unit cell a=3.6827 b=3.6827 c=3.6827 alpha=90.00 beta=90.00 gamma=90.00
With the nearest neighbours (Å) after each atom.
Fractional coordinates of all 5 atoms:
H 0.0000 0.0000 0.0000  6 Be 1.84
Be 0.0000 0.0000 0.5000  2 H 1.84
Be 0.5000 0.0000 0.0000  2 H 1.84
Be 0.0000 0.5000 0.0000  2 H 1.84
Hg 0.5000 0.5000 0.5000  12 Be 2.60



On energetic grounds, <b> is preferred over the next structure by 73.5 kJ/mol of atoms.



<a>
A plane-wave DFT calculation with PBE-GGA was carried out for a geometry-optimized Be2HI structure.

Results
space-group type	I-42d

Unit cell a=4.2537 b=4.2537 c=7.0873 alpha=72.54 beta=72.54 gamma=90.00
With the nearest neighbours (Å) after each atom.
Fractional coordinates of all 8 atoms:
H 0.2500 0.7500 0.5000  4 Be 1.96
H 0.5000 0.5000 0.0000  4 Be 1.96
Be 0.2885 0.6250 0.2500  2 H 1.96
Be 0.3750 0.5385 0.7500  2 H 1.96
Be 0.4615 0.1250 0.2500  2 H 1.96
Be 0.8750 0.7115 0.7500  2 H 1.96
I 0.0000 0.0000 0.0000  4 Be 2.61
I 0.7500 0.2500 0.5000  4 Be 2.61



<b>
A plane-wave DFT calculation with PBE-GGA was carried out for a geometry-optimized Be2HI structure.

Results
space-group type	Fm-3m

Unit cell a=4.3669 b=4.3669 c=4.3669 alpha=60.00 beta=60.00 gamma=60.00
With the nearest neighbours (Å) after each atom.
Fractional coordinates of all 4 atoms:
H 0.0000 0.0000 0.0000  8 Be 2.67
Be 0.7500 0.7500 0.7500  4 I 2.67, 4 H 2.67
Be 0.2500 0.2500 0.2500  4 H 2.67, 4 I 2.67
I 0.5000 0.5000 0.5000  8 Be 2.67



On energetic grounds, <a> is preferred over the next structure by 69.3 kJ/mol of atoms.



<a>
A plane-wave DFT calculation with PBE-GGA was carried out for a geometry-optimized BeHI2 structure.

Results
space-group type	Fm-3m

Unit cell a=4.9628 b=4.9628 c=4.9628 alpha=60.00 beta=60.00 gamma=60.00
With the nearest neighbours (Å) after each atom.
Fractional coordinates of all 4 atoms:
Be 0.5000 0.5000 0.5000  8 I 3.04
H 0.0000 0.0000 0.0000  8 I 3.04
I 0.2500 0.2500 0.2500  4 Be 3.04, 4 H 3.04
I 0.7500 0.7500 0.7500  4 Be 3.04, 4 H 3.04



<b>
A plane-wave DFT calculation with PBE-GGA was carried out for a geometry-optimized BeHI2 structure.

Results
space-group type	I4cm

Unit cell a=6.1816 b=7.5846 c=7.5853 alpha=80.43 beta=65.95 gamma=65.95
With the nearest neighbours (Å) after each atom.
Fractional coordinates of all 8 atoms:
I 0.5105 0.9472 0.1840  2 Be 2.43
I 0.2810 0.6768 0.9135  2 Be 2.43
I 0.0105 0.6767 0.4544  2 Be 2.43
I 0.7810 0.4062 0.1840  2 Be 2.43
Be 0.3957 0.6768 0.1840  4 I 2.43
Be 0.8957 0.6768 0.1840  4 I 2.43
H 0.1452 0.1763 0.6838  2 H 3.09
H 0.6452 0.1764 0.6837  2 H 3.09



On energetic grounds, <b> is preferred over the next structure by 77.6 kJ/mol of atoms.



<a>
A plane-wave DFT calculation with PBE-GGA was carried out for a geometry-optimized Be3HI structure.

Results
space-group type	Pm-3m

Unit cell a=3.9563 b=3.9563 c=3.9563 alpha=90.00 beta=90.00 gamma=90.00
With the nearest neighbours (Å) after each atom.
Fractional coordinates of all 5 atoms:
H 0.0000 0.0000 0.0000  6 Be 1.98
Be 0.5000 0.0000 0.0000  2 H 1.98
Be 0.0000 0.0000 0.5000  2 H 1.98
Be 0.0000 0.5000 0.0000  2 H 1.98
I 0.5000 0.5000 0.5000  12 Be 2.80



<b>
A plane-wave DFT calculation with PBE-GGA was carried out for a geometry-optimized Be3HI structure.

Results
space-group type	Pm-3m

Unit cell a=4.9337 b=4.9337 c=4.9337 alpha=90.00 beta=90.00 gamma=90.00
With the nearest neighbours (Å) after each atom.
Fractional coordinates of all 5 atoms:
H 0.5000 0.5000 0.5000  12 Be 3.49
I 0.0000 0.0000 0.0000  6 Be 2.47
Be 0.5000 0.0000 0.0000  2 I 2.47
Be 0.0000 0.5000 0.0000  2 I 2.47
Be 0.0000 0.0000 0.5000  2 I 2.47



On energetic grounds, <a> is preferred over the next structure by 96.8 kJ/mol of atoms.



<a>
A plane-wave DFT calculation with PBE-GGA was carried out for a geometry-optimized BeHIN2 structure.

Results
space-group type	P4/mmm

Unit cell a=3.2634 b=3.2634 c=8.0863 alpha=90.00 beta=90.00 gamma=90.00
With the nearest neighbours (Å) after each atom.
Fractional coordinates of all 5 atoms:
Be 0.0000 0.0000 0.0000  4 N 1.63
N 0.0000 0.5000 0.0000  2 Be 1.63
N 0.5000 0.0000 0.0000  2 Be 1.63
H 0.5000 0.5000 0.5000  4 I 2.31
I 0.0000 0.0000 0.5000  4 H 2.31



<b>
A plane-wave DFT calculation with PBE-GGA was carried out for a geometry-optimized BeHIN2 structure.

Results
space-group type	P4/mmm

Unit cell a=4.0831 b=4.0831 c=3.3853 alpha=90.00 beta=90.00 gamma=90.00
With the nearest neighbours (Å) after each atom.
Fractional coordinates of all 5 atoms:
N 0.0000 0.5000 0.0000  2 H 2.04
N 0.5000 0.0000 0.0000  2 H 2.04
H 0.0000 0.0000 0.0000  2 I 1.69
Be 0.5000 0.5000 0.5000  8 N 2.65, 4 I 2.89
I 0.0000 0.0000 0.5000  2 H 1.69



On energetic grounds, <a> is preferred over the next structure by 108.3 kJ/mol of atoms.



<a>
A plane-wave DFT calculation with PBE-GGA was carried out for a geometry-optimized BeHI2O structure.

Results
space-group type	P4/mmm

Unit cell a=5.6966 b=5.6966 c=2.8328 alpha=90.00 beta=90.00 gamma=90.00
With the nearest neighbours (Å) after each atom.
Fractional coordinates of all 5 atoms:
I 0.5000 0.0000 0.0000  2 I 2.83, 2 H 2.85
I 0.0000 0.5000 0.0000  2 I 2.83, 2 H 2.85
H 0.0000 0.0000 0.0000  2 O 1.42
Be 0.5000 0.5000 0.5000  2 Be 2.83
O 0.0000 0.0000 0.5000  2 H 1.42



<b>
A plane-wave DFT calculation with PBE-GGA was carried out for a geometry-optimized BeHI2O structure.

Results
space-group type	P4/mmm

Unit cell a=7.5093 b=7.5093 c=2.8744 alpha=90.00 beta=90.00 gamma=90.00
With the nearest neighbours (Å) after each atom.
Fractional coordinates of all 5 atoms:
O 0.0000 0.0000 0.5000  2 Be 1.44
I 0.5000 0.0000 0.0000  2 I 2.87
I 0.0000 0.5000 0.0000  2 I 2.87
Be 0.0000 0.0000 0.0000  2 O 1.44
H 0.5000 0.5000 0.5000  2 H 2.87



On energetic grounds, <b> is preferred over the next structure by 96.0 kJ/mol of atoms.